VASP calculation (PBE-GGA) on a relaxed KLi4La crystal.

```
6
Lattice="1.4089 -5.4457 -2.8794 -1.3161 -5.4988 2.8217 -4.6240 -3.6759 -2.2444" Properties=species:S:1:pos:R:3 pbc="T T T"
K -3.3984 -10.9653 -1.7265
Li -0.9906 -8.2085 -2.3068
Li -4.0170 -7.3206 -1.9882
Li -2.3576 -8.2351 0.5532
Li -1.6973 -5.4766 -0.8623
La 0.0000 0.0000 0.0000
```

Calculated values
E_tot	-2.05	eV per atom
space-group type	F-43m
density of states at the Fermi level	6.40	states/eV/cell
M_tot	0.0	Bohr magnetons per cell



VASP calculation (PBE-GGA) on a relaxed Zr2AgPdRh crystal.

```
5
Lattice="4.9403 0.0000 0.0000 0.0000 4.8756 0.0000 0.0000 0.0000 4.9403" Properties=species:S:1:pos:R:3 pbc="T T T"
Zr 0.0000 0.0000 2.4701
Zr 2.4701 0.0000 0.0000
Rh 0.0000 2.4378 0.0000
Pd 0.0000 0.0000 0.0000
Ag 2.4701 2.4378 2.4701
```

Calculated values
E_tot	-5.86	eV per atom
space-group type	P4/mmm
density of states at the Fermi level	5.05	states/eV/cell
M_tot	0.0	Bohr magnetons per cell



VASP calculation (PBE-GGA) on a relaxed La5Sn2Pb crystal.

```
16
Lattice="7.7692 0.0000 -3.6675 -1.7312 7.5738 -3.6675 -0.2916 -0.3657 9.4452" Properties=species:S:1:pos:R:3 pbc="T T T"
La 2.6366 4.9146 2.2137
La 4.5618 7.3295 -3.7709
La 0.0000 0.0000 0.0000
La 3.0190 3.7869 -3.6675
La 1.1846 -0.1214 5.8812
La 4.7836 1.1277 3.4426
La -0.9624 3.6655 4.6523
La 0.9627 6.0803 -1.3323
La 6.7088 3.5426 -2.5420
La 3.1097 2.2934 -0.1034
Sn 0.3785 2.7951 -1.8337
Sn 4.6753 0.9918 -2.7943
Sn 1.3627 6.5820 -4.5406
Sn 5.6594 4.7787 -5.5012
Pb 4.3827 5.4975 -0.7786
Pb 1.3637 1.7106 2.8889
```

Calculated values
E_tot	-5.19	eV per atom
space-group type	I4/mcm
density of states at the Fermi level	19.48	states/eV/cell
M_tot	2.9	Bohr magnetons per cell



VASP calculation (PBE-GGA) on a relaxed Rh5Cl3 crystal.

```
16
Lattice="-7.1754 -1.5881 2.8107 5.8261 -4.0976 -3.3125 6.1395 1.1459 4.7750" Properties=species:S:1:pos:R:3 pbc="T T T"
Rh -0.7884 -1.3798 3.6904
Rh 5.5733 -3.1611 0.5788
Rh 4.9741 -4.4549 2.9151
Rh -0.1889 -0.0855 1.3542
Rh -0.9390 -2.9586 1.6543
Rh 5.7239 -1.5825 2.6149
Rh 3.0508 -3.7696 0.2018
Rh 1.7340 -0.7719 4.0672
Rh 7.8415 -1.9404 0.9571
Rh -3.0564 -2.6002 3.3123
Cl 4.0073 -1.3401 4.3450
Cl 0.7778 -3.2010 -0.0758
Cl 3.3977 -3.6397 -2.0596
Cl 1.3872 -0.9013 6.3285
Cl 2.0073 -0.6362 1.7959
Cl 2.7776 -3.9045 2.4733
```

Calculated values
energy above the lowest structure with this stoichiometry	0	meV per atom
space-group type	P-1
density of states at the Fermi level	16.48	states/eV/cell
energy relative to the elements, uncorrected	134	meV per atom
M_tot	0.0	Bohr magnetons per cell



What did the third record say?
VASP calculation (PBE-GGA) on a relaxed La5Sn2Pb crystal.

```
16
Lattice="7.7692 0.0000 -3.6675 -1.7312 7.5738 -3.6675 -0.2916 -0.3657 9.4452" Properties=species:S:1:pos:R:3 pbc="T T T"
La 2.6366 4.9146 2.2137
La 4.5618 7.3295 -3.7709
La 0.0000 0.0000 0.0000
La 3.0190 3.7869 -3.6675
La 1.1846 -0.1214 5.8812
La 4.7836 1.1277 3.4426
La -0.9624 3.6655 4.6523
La 0.9627 6.0803 -1.3323
La 6.7088 3.5426 -2.5420
La 3.1097 2.2934 -0.1034
Sn 0.3785 2.7951 -1.8337
Sn 4.6753 0.9918 -2.7943
Sn 1.3627 6.5820 -4.5406
Sn 5.6594 4.7787 -5.5012
Pb 4.3827 5.4975 -0.7786
Pb 1.3637 1.7106 2.8889
```

Calculated values
E_tot	-5.19	eV per atom
space-group type	I4/mcm
density of states at the Fermi level	19.48	states/eV/cell
M_tot	2.9	Bohr magnetons per cell